Sr2CoF | PBE+U | optimized geometry

## Properties
- Total moment: 4.00 μB per cell
- V: 234.26 Å³ per cell
- Calculated total energy: -0.1305 hartree per atom

a b c (Å): 7.241 7.241 6.795
angles (deg): 57.81 57.81 90.00
Site moments in Bohr magnetons follow the coordinates.
Fractional positions:
Co: 0.750 0.250 0.500  2.05
F: 0.500 0.500 0.000  0.00
Sr: 0.557 0.125 0.250  -0.01
Sr: 0.193 0.625 0.250  -0.01
Sr: 0.375 0.443 0.750  -0.01
F: 0.250 0.750 0.500  0.00
Co: 0.000 0.000 0.000  2.05
Sr: 0.875 0.807 0.750  -0.01